[1]
Entry from Alexandria: an optimized crystal structure of Tb12Nd5In2 (PBE).

- E (eV/f.u.) = -85.2
- total moment (μB/cell) = 0.0
- mass density (g/cm³) = 7.74

Cell: 15.5079 9.3444 8.4687 Å, 90.00 92.50 90.00°
Space group C2/m (No. 12)
One atom of each set of equivalent atoms:
Tb 0.0538 0.0000 0.3260 x4
Tb 0.0778 0.5000 0.8817 x4
Tb 0.1264 0.1930 0.6703 x8
Tb 0.1441 0.3161 0.2359 x8
Nd 0.0000 0.5000 0.5000 x2
Nd 0.1941 0.0000 0.0123 x4
Nd 0.2331 0.5000 0.5776 x4
In 0.0000 0.1779 0.0000 x4

=====

[2]
Entry from Alexandria: an optimized crystal structure of Fe2Pd7Au (PBE).

- E (eV/f.u.) = -52.2
- total moment (μB/cell) = 17.6
- mass density (g/cm³) = 9.18

Cell: 7.2048 12.5058 4.2304 Å, 90.00 90.00 90.00°
Space group Cmmm (No. 65)
One atom of each set of equivalent atoms:
Fe 0.0000 0.1967 0.0000 x4
Pd 0.0000 0.0000 0.0000 x2
Pd 0.0000 0.2842 0.5000 x4
Pd 0.1886 0.3831 0.0000 x8
Au 0.0000 0.5000 0.5000 x2

=====

[3]
Entry from Alexandria: an optimized crystal structure of YHfTl2Re (PBE).

- E (eV/f.u.) = -24.8
- total moment (μB/cell) = 0.0
- mass density (g/cm³) = 9.64

Cell: 5.5163 5.5163 4.8794 Å, 90.00 90.00 90.00°
Space group P4/mmm (No. 123)
One atom of each set of equivalent atoms:
Y 0.0000 0.0000 0.0000 x1
Hf 0.5000 0.5000 0.5000 x1
Tl 0.0000 0.5000 0.0000 x2
Re 0.0000 0.0000 0.5000 x1

=====

[4]
Entry from Alexandria: an optimized crystal structure of CaZnIn2 (PBE).

- E (eV/f.u.) = -9.0
- total moment (μB/cell) = 0.0
- mass density (g/cm³) = 5.11

Cell: 4.4940 4.4940 21.5722 Å, 90.00 90.00 90.00°
Space group I-42d (No. 122)
One atom of each set of equivalent atoms:
Ca 0.0000 0.0000 0.0000 x4
Zn 0.0000 0.0000 0.5000 x4
In 0.2293 0.2500 0.6250 x8

=====

[5]
Entry from Alexandria: an optimized crystal structure of Li2Ca2Ac3Ga4 (PBE).

- E (eV/f.u.) = -35.2
- total moment (μB/cell) = 0.0
- mass density (g/cm³) = 5.40

Cell: 5.0095 5.0095 14.9206 Å, 90.00 90.00 120.00°
Space group P-3m1 (No. 164)
One atom of each set of equivalent atoms:
Li 0.3333 0.6667 0.1354 x2
Ca 0.3333 0.6667 0.5723 x2
Ac 0.0000 0.0000 0.0000 x1
Ac 0.0000 0.0000 0.2522 x2
Ga 0.3333 0.6667 0.3506 x2
Ga 0.3333 0.6667 0.8765 x2

=====

[6]
Entry from Alexandria: an optimized crystal structure of AgPb (PBE).

- E (eV/f.u.) = -6.4
- total moment (μB/cell) = 0.0
- mass density (g/cm³) = 10.79

Cell: 11.3378 3.3869 5.3141 Å, 90.00 108.12 90.00°
Space group C2/m (No. 12)
One atom of each set of equivalent atoms:
Ag 0.1476 0.0000 0.3473 x4
Pb 0.1084 0.5000 0.8238 x4

=====

[7]
Entry from Alexandria: an optimized crystal structure of Zn3BiPt (PBE).

- E (eV/f.u.) = -13.5
- total moment (μB/cell) = 0.0
- mass density (g/cm³) = 8.76
- E above lowest polymorph (eV/atom) = 0.0000

Cell: 4.8463 4.8463 4.8463 Å, 90.00 90.00 90.00°
Space group Pm-3m (No. 221)
One atom of each set of equivalent atoms:
Zn 0.0000 0.0000 0.5000 x3
Bi 0.5000 0.5000 0.5000 x1
Pt 0.0000 0.0000 0.0000 x1

=====

[8]
Entry from Alexandria: an optimized crystal structure of LiCaCd6 (PBE).

- E (eV/f.u.) = -11.1
- total moment (μB/cell) = 0.0
- mass density (g/cm³) = 6.61
- E above lowest polymorph (eV/atom) = 0.0000

Cell: 5.0023 6.7751 5.3507 Å, 90.00 90.00 90.00°
Space group Pmm2 (No. 25)
One atom of each set of equivalent atoms:
Li 0.0000 0.0000 0.0000 x1
Ca 0.5000 0.5000 0.6609 x1
Cd 0.0000 0.2270 0.5199 x2
Cd 0.0000 0.5000 0.0612 x1
Cd 0.5000 0.0000 0.6768 x1
Cd 0.5000 0.2277 0.1641 x2

=====

- What is the E in the seventh record?
  -13.5 eV/f.u.